DFT (PBE-GGA) results for a relaxed YNiOs2 crystal.

## Properties
Total magnetic moment, μB/f.u.: 0.00
Calculated volume, Å³ per cell: 259
DFT total energy, hartree per atom: -0.308
Formation energy from the elements, eV per atom: 0.30
Offset from the most stable computed form, eV per formula unit: 1.97

Cell and atoms, written as CIF:
```
data_YNiOs2
_symmetry_space_group_name_H-M 'F -4 3 m'
_symmetry_Int_Tables_number 216
_symmetry_space_group_name_Hall 'F -4 2 3'
_cell_length_a 6.3746
_cell_length_b 6.3746
_cell_length_c 6.3746
_cell_angle_alpha 90.00
_cell_angle_beta 90.00
_cell_angle_gamma 90.00
loop_
_atom_site_label
_atom_site_fract_x
_atom_site_fract_y
_atom_site_fract_z
Y1 0.0000 0.0000 0.0000
Ni1 0.2500 0.2500 0.7500
Os1 0.0000 0.0000 0.5000
Os2 0.2500 0.2500 0.2500
```